(1)
Zr3Fe after structural relaxation, computed with PBE.

POSCAR file:
```
Zr3Fe
1.0
7.5024 0.0000 0.0000
0.0000 9.8468 0.0000
0.0000 0.0000 4.2816
Zr Fe
12 4
direct
0.0000 0.1083 0.2500
0.0000 0.8917 0.7500
0.2100 0.3790 0.2500
0.2100 0.6210 0.7500
0.2900 0.1210 0.7500
0.2900 0.8790 0.2500
0.5000 0.3917 0.7500
0.5000 0.6083 0.2500
0.7100 0.1210 0.7500
0.7100 0.8790 0.2500
0.7900 0.3790 0.2500
0.7900 0.6210 0.7500
0.0000 0.3783 0.7500
0.0000 0.6217 0.2500
0.5000 0.1217 0.2500
0.5000 0.8783 0.7500
```

Computed properties:
E_form   0.14 eV per formula unit

***

(2)
ZrFe after structural relaxation, computed with PBE.

POSCAR file:
```
ZrFe
1.0
4.1536 0.0000 0.0000
-2.0768 3.5971 0.0000
0.0000 0.0000 4.5891
Zr Fe
2 2
direct
0.3333 0.6667 0.2500
0.6667 0.3333 0.7500
0.0000 0.0000 0.0000
0.0000 0.0000 0.5000
```

Computed properties:
E_form   0.05 eV per formula unit

***

(3)
Zr2Fe after structural relaxation, computed with PBE.

POSCAR file:
```
Zr2Fe
1.0
4.1278 0.0000 0.0000
0.0000 9.8062 0.0000
0.0000 0.0000 5.6587
Zr Fe
8 4
direct
0.2500 0.0253 0.2021
0.2500 0.2500 0.6195
0.2500 0.4747 0.2021
0.2500 0.7500 0.9457
0.7500 0.2500 0.0543
0.7500 0.5253 0.7979
0.7500 0.7500 0.3805
0.7500 0.9747 0.7979
0.2500 0.6144 0.5699
0.2500 0.8856 0.5699
0.7500 0.1144 0.4301
0.7500 0.3856 0.4301
```

Computed properties:
E_form   0.16 eV per formula unit

***

(4)
Zr3Fe after structural relaxation, computed with PBE.

POSCAR file:
```
Zr3Fe
1.0
6.1881 0.0000 0.0000
-3.0940 5.3590 0.0000
0.0000 0.0000 4.8185
Zr Fe
6 2
direct
0.1752 0.3505 0.2500
0.1752 0.8248 0.2500
0.3505 0.1752 0.7500
0.6495 0.8248 0.2500
0.8248 0.1752 0.7500
0.8248 0.6495 0.7500
0.3333 0.6667 0.7500
0.6667 0.3333 0.2500
```

Computed properties:
E_form   0.71 eV per formula unit

***

(5)
ZrFe after structural relaxation, computed with PBE.

POSCAR file:
```
ZrFe
1.0
6.6112 0.0000 0.0000
0.0000 4.1230 0.0000
-3.1699 0.0000 7.4238
Zr Fe
6 6
direct
0.1178 0.2500 0.3482
0.1747 0.7500 0.0695
0.2973 0.2500 0.8136
0.7027 0.7500 0.1864
0.8253 0.2500 0.9305
0.8822 0.7500 0.6518
0.2166 0.7500 0.5595
0.4350 0.2500 0.2113
0.4722 0.7500 0.4118
0.5278 0.2500 0.5882
0.5650 0.7500 0.7887
0.7834 0.2500 0.4405
```

Computed properties:
E_form   -0.03 eV per formula unit

***

(6)
Zr2Fe after structural relaxation, computed with PBE.

POSCAR file:
```
Zr2Fe
1.0
0.0000 5.2220 5.2220
5.2220 0.0000 5.2220
5.2220 5.2220 0.0000
Zr Fe
4 2
direct
0.0000 0.0000 0.0000
0.0000 0.0000 0.5000
0.0000 0.5000 0.0000
0.5000 0.0000 0.0000
0.1250 0.1250 0.1250
0.8750 0.8750 0.8750
```

Computed properties:
E_form   5.65 eV per formula unit

***

(7)
ZrFe after structural relaxation, computed with PBE.

POSCAR file:
```
ZrFe
1.0
5.2174 0.0000 0.0000
0.0000 5.2174 0.0000
0.0000 0.0000 5.2174
Zr Fe
4 4
direct
0.0000 0.0000 0.0000
0.0000 0.5000 0.5000
0.5000 0.0000 0.5000
0.5000 0.5000 0.0000
0.0000 0.0000 0.5000
0.0000 0.5000 0.0000
0.5000 0.0000 0.0000
0.5000 0.5000 0.5000
```

Computed properties:
E_form   0.70 eV per formula unit

***

(8)
Zr2Fe after structural relaxation, computed with PBE.

POSCAR file:
```
Zr2Fe
1.0
0.0000 3.8849 3.8849
3.8849 0.0000 3.8849
3.8849 3.8849 0.0000
Zr Fe
4 2
direct
0.0000 0.0000 0.0000
0.0000 0.0000 0.5000
0.0000 0.5000 0.0000
0.5000 0.0000 0.0000
0.3750 0.3750 0.3750
0.6250 0.6250 0.6250
```

Computed properties:
E_form   2.42 eV per formula unit

***

(9)
ZrFe after structural relaxation, computed with PBE.

POSCAR file:
```
ZrFe
1.0
5.9737 0.0000 0.0000
-2.9869 5.1734 0.0000
0.0000 0.0000 4.5026
Zr Fe
4 4
direct
0.0000 0.0000 0.0000
0.1728 0.3455 0.5000
0.1728 0.8272 0.5000
0.6545 0.8272 0.5000
0.5352 0.0704 0.0000
0.5352 0.4648 0.0000
0.6667 0.3333 0.5000
0.9296 0.4648 0.0000
```

Computed properties:
E_form   0.72 eV per formula unit

***

(10)
Zr3Fe after structural relaxation, computed with PBE.

POSCAR file:
```
Zr3Fe
1.0
6.1886 0.0000 0.0000
-3.0943 5.3595 0.0000
0.0000 0.0000 4.8190
Zr Fe
6 2
direct
0.1752 0.3504 0.2500
0.1752 0.8248 0.2500
0.3504 0.1752 0.7500
0.6496 0.8248 0.2500
0.8248 0.1752 0.7500
0.8248 0.6496 0.7500
0.3333 0.6667 0.7500
0.6667 0.3333 0.2500
```

Computed properties:
E_form   0.71 eV per formula unit

***

(11)
Zr3Fe after structural relaxation, computed with PBE.

POSCAR file:
```
Zr3Fe
1.0
3.2894 0.0000 0.0000
0.0000 10.8566 0.0000
0.0000 0.0000 8.9144
Zr Fe
12 4
direct
0.0000 0.0804 0.2500
0.0000 0.3626 0.0598
0.0000 0.3626 0.4402
0.0000 0.6374 0.5598
0.0000 0.6374 0.9402
0.0000 0.9196 0.7500
0.5000 0.1374 0.5598
0.5000 0.1374 0.9402
0.5000 0.4196 0.7500
0.5000 0.5804 0.2500
0.5000 0.8626 0.0598
0.5000 0.8626 0.4402
0.0000 0.2306 0.7500
0.0000 0.7694 0.2500
0.5000 0.2694 0.2500
0.5000 0.7306 0.7500
```

Computed properties:
E_form   -0.48 eV per formula unit

***

(12)
ZrFe after structural relaxation, computed with PBE.

POSCAR file:
```
ZrFe
1.0
6.5424 0.0000 0.0000
0.0000 3.8802 0.0000
-0.1582 0.0000 7.8230
Zr Fe
6 6
direct
0.0056 0.2500 0.2107
0.3372 0.7500 0.0745
0.4754 0.7500 0.6628
0.5246 0.2500 0.3372
0.6628 0.2500 0.9255
0.9944 0.7500 0.7893
0.1550 0.2500 0.5628
0.2088 0.7500 0.4137
0.2540 0.2500 0.8706
0.7460 0.7500 0.1294
0.7912 0.2500 0.5863
0.8450 0.7500 0.4372
```

Computed properties:
E_form   -0.18 eV per formula unit

***

(13)
ZrFe after structural relaxation, computed with PBE.

POSCAR file:
```
ZrFe
1.0
3.2032 0.0000 0.0000
-1.6016 2.7740 0.0000
0.0000 0.0000 7.7173
Zr Fe
2 2
direct
0.3333 0.6667 0.0000
0.6667 0.3333 0.5000
0.3333 0.6667 0.7053
0.6667 0.3333 0.2053
```

Computed properties:
E_form   1.71 eV per formula unit

***

(14)
ZrFe after structural relaxation, computed with PBE.

POSCAR file:
```
ZrFe
1.0
4.1025 0.0000 0.0000
0.0000 8.5217 2.3951
0.0000 -8.5217 2.3951
Zr Fe
5 5
direct
0.0000 0.0000 0.0000
0.0000 0.3021 0.5603
0.0000 0.5603 0.3021
0.5000 0.0202 0.8004
0.5000 0.8004 0.0202
0.0000 0.1530 0.7241
0.0000 0.7241 0.1530
0.5000 0.4369 0.4369
0.5000 0.4405 0.9471
0.5000 0.9471 0.4405
```

Computed properties:
E_form   0.07 eV per formula unit

***

(15)
ZrFe after structural relaxation, computed with PBE.

POSCAR file:
```
ZrFe
1.0
5.1029 0.0000 0.0000
0.0000 4.1380 0.0000
-2.5370 0.0000 8.0179
Zr Fe
5 5
direct
0.0000 0.0000 0.0000
0.0074 0.0000 0.6184
0.1085 0.5000 0.2928
0.4338 0.5000 0.9448
0.6187 0.0000 0.2372
0.3808 0.5000 0.6184
0.3934 0.0000 0.4579
0.5533 0.0000 0.7802
0.6932 0.5000 0.4609
0.8490 0.5000 0.7758
```

Computed properties:
E_form   0.01 eV per formula unit

***

(16)
Zr2Fe after structural relaxation, computed with PBE.

POSCAR file:
```
Zr2Fe
1.0
3.2712 0.0000 0.0000
0.0000 14.0081 0.0000
0.0000 0.0000 4.8069
Zr Fe
8 4
direct
0.0000 0.0740 0.2500
0.0000 0.2241 0.7500
0.0000 0.7759 0.2500
0.0000 0.9260 0.7500
0.5000 0.2759 0.2500
0.5000 0.4260 0.7500
0.5000 0.5740 0.2500
0.5000 0.7241 0.7500
0.0000 0.4246 0.2500
0.0000 0.5754 0.7500
0.5000 0.0754 0.7500
0.5000 0.9246 0.2500
```

Computed properties:
E_form   -0.24 eV per formula unit

***

(17)
ZrFe3 after structural relaxation, computed with PBE.

POSCAR file:
```
ZrFe3
1.0
6.0144 0.0000 0.0000
0.0000 6.0144 0.0000
0.0000 0.0000 6.0144
Zr Fe
4 12
direct
0.0000 0.0000 0.0000
0.0000 0.5000 0.5000
0.5000 0.0000 0.5000
0.5000 0.5000 0.0000
0.0000 0.0000 0.5000
0.0000 0.5000 0.0000
0.2500 0.2500 0.2500
0.2500 0.2500 0.7500
0.2500 0.7500 0.2500
0.2500 0.7500 0.7500
0.5000 0.0000 0.0000
0.5000 0.5000 0.5000
0.7500 0.2500 0.2500
0.7500 0.2500 0.7500
0.7500 0.7500 0.2500
0.7500 0.7500 0.7500
```

Computed properties:
E_form   -0.13 eV per formula unit

***

(18)
Zr2Fe after structural relaxation, computed with PBE.

POSCAR file:
```
Zr2Fe
1.0
0.0000 6.0616 6.0616
6.0616 0.0000 6.0616
6.0616 6.0616 0.0000
Zr Fe
16 8
direct
0.0000 0.0000 0.0000
0.0000 0.0000 0.5000
0.0000 0.5000 0.0000
0.1868 0.1868 0.5632
0.1868 0.5632 0.1868
0.1868 0.5632 0.5632
0.4368 0.4368 0.8132
0.4368 0.8132 0.4368
0.4368 0.8132 0.8132
0.5000 0.0000 0.0000
0.5632 0.1868 0.1868
0.5632 0.1868 0.5632
0.5632 0.5632 0.1868
0.8132 0.4368 0.4368
0.8132 0.4368 0.8132
0.8132 0.8132 0.4368
0.1591 0.7803 0.7803
0.2197 0.2197 0.2197
0.2197 0.2197 0.8409
0.2197 0.8409 0.2197
0.7803 0.1591 0.7803
0.7803 0.7803 0.1591
0.7803 0.7803 0.7803
0.8409 0.2197 0.2197
```

Computed properties:
E_form   -0.25 eV per formula unit

***

(19)
ZrFe after structural relaxation, computed with PBE.

POSCAR file:
```
ZrFe
1.0
5.6289 0.0000 0.0000
0.0000 4.0791 0.0000
-1.1350 0.0000 9.1065
Zr Fe
6 6
direct
0.1743 0.2500 0.0500
0.2006 0.7500 0.2985
0.3096 0.7500 0.8255
0.6904 0.2500 0.1745
0.7994 0.2500 0.7015
0.8257 0.7500 0.9500
0.0232 0.7500 0.5854
0.2766 0.2500 0.6151
0.4868 0.2500 0.4137
0.5132 0.7500 0.5863
0.7234 0.7500 0.3849
0.9768 0.2500 0.4146
```

Computed properties:
E_form   0.21 eV per formula unit

***

(20)
Gd3Ga2 after structural relaxation, computed with PBE.

POSCAR file:
```
Gd3Ga2
1.0
-5.8595 5.8595 7.5200
5.8595 -5.8595 7.5200
5.8595 5.8595 -7.5200
Gd Ga
24 16
direct
0.0672 0.3361 0.1340
0.0668 0.9328 0.2689
0.1479 0.6479 0.5000
0.1639 0.4328 0.8660
0.1680 0.3320 0.5000
0.2020 0.9332 0.8660
0.2980 0.1639 0.7311
0.3320 0.8320 0.1640
0.3361 0.2020 0.2689
0.3521 0.8521 0.5000
0.4328 0.5668 0.2689
0.4332 0.7020 0.8660
0.5668 0.2980 0.1340
0.5672 0.4332 0.7311
0.6479 0.1479 0.5000
0.6639 0.7980 0.7311
0.6680 0.1680 0.8360
0.7020 0.8361 0.2689
0.7980 0.0668 0.1340
0.8320 0.6680 0.5000
0.8361 0.5672 0.1340
0.8521 0.3521 0.5000
0.9332 0.0672 0.7311
0.9328 0.6639 0.8660
0.0000 0.0000 0.0000
0.0241 0.8803 0.5000
0.1163 0.6163 0.7326
0.1197 0.6197 0.1438
0.2500 0.2500 0.0000
0.3803 0.5241 0.5000
0.3837 0.1163 0.5000
0.4759 0.9759 0.8562
0.5000 0.5000 0.0000
0.5241 0.0241 0.1438
0.6163 0.8837 0.5000
0.6197 0.4759 0.5000
0.7500 0.7500 0.0000
0.8803 0.3803 0.8562
0.8837 0.3837 0.2674
0.9759 0.1197 0.5000
```

Computed properties:
Energy above the most stable polymorph in this dataset   0 meV per atom

***

(21)
GdGa6 after structural relaxation, computed with PBE.

POSCAR file:
```
GdGa6
1.0
5.9880 0.0000 0.0000
0.0000 5.9880 0.0000
0.0000 0.0000 7.6209
Gd Ga
2 12
direct
0.2500 0.7500 0.0000
0.7500 0.2500 0.0000
0.0604 0.5604 0.3483
0.0604 0.9396 0.6517
0.2500 0.2500 0.1597
0.2500 0.2500 0.8403
0.4396 0.5604 0.6517
0.4396 0.9396 0.3483
0.5604 0.0604 0.6517
0.5604 0.4396 0.3483
0.7500 0.7500 0.1597
0.7500 0.7500 0.8403
0.9396 0.0604 0.3483
0.9396 0.4396 0.6517
```

Computed properties:
E   -3.594 eV/atom

***

(22)
GdGa3 after structural relaxation, computed with PBE.

POSCAR file:
```
GdGa3
1.0
6.3365 0.0000 0.0000
-3.1683 5.4876 0.0000
0.0000 0.0000 4.5352
Gd Ga
2 6
direct
0.3333 0.6667 0.2500
0.6667 0.3333 0.7500
0.1463 0.2926 0.7500
0.1463 0.8537 0.7500
0.2926 0.1463 0.2500
0.7074 0.8537 0.7500
0.8537 0.1463 0.2500
0.8537 0.7074 0.2500
```

Computed properties:
E   -3.993 eV/atom

***

The evaluated total magnetization for the records listed, in turn: 0.41 0.04 0.02 4.61 8.24 1.25 3.76 4.45 8.91 4.62 0.13 4.77 2.26 4.87 6.31 1.04 21.67 2.93 9.88 0.01 0.00 0.00 μB per cell.
The evaluated V for the records listed, in turn: 79.1 34.3 57.3 79.9 33.7 142.4 35.5 58.6 34.8 79.9 79.6 33.1 34.3 33.5 33.9 55.1 54.4 55.7 34.8 129.1 136.6 78.8 Å³/f.u..